{"formula": "Ca2CdSb3Rh4", "functional": "PBE", "state": "optimized geometry", "lattice_angstrom": [[4.3718, 0.0000, 0.0000], [0.0000, 4.3718, 0.0000], [0.0000, 0.0000, 11.1892]], "species": ["Ca", "Ca", "Cd", "Sb", "Sb", "Sb", "Rh", "Rh", "Rh", "Rh"], "frac_coords": [[0.0000, 0.5000, 0.2479], [0.5000, 0.0000, 0.7521], [0.5000, 0.5000, 0.0000], [0.0000, 0.0000, 0.0000], [0.0000, 0.5000, 0.6318], [0.5000, 0.0000, 0.3682], [0.0000, 0.0000, 0.5000], [0.0000, 0.5000, 0.8590], [0.5000, 0.0000, 0.1410], [0.5000, 0.5000, 0.5000]], "dos_at_fermi_per_ev_cell": 7.24, "space_group": "No. 115", "e_form_raw_ev_per_atom": -0.62}